Record 1
First-principles (PBE) data for LaAg2 after structural relaxation, as listed in the Alexandria database. Values from VASP.

Calculated total energy: -45.3 eV/cell
N(E_F): 6.3 states/eV/cell
Energy of formation from the pure elements: -229 meV/atom

```
&SYSTEM
  ibrav = 0, nat = 12, ntyp = 2
/
ATOMIC_SPECIES
La 138.91 La.upf
Ag 107.87 Ag.upf
ATOMIC_POSITIONS crystal
La 0.000 0.250 0.375
La 0.000 0.750 0.625
La 0.500 0.250 0.125
La 0.500 0.750 0.875
Ag 0.000 0.250 0.798
Ag 0.000 0.250 0.952
Ag 0.000 0.750 0.048
Ag 0.000 0.750 0.202
Ag 0.500 0.250 0.548
Ag 0.500 0.250 0.702
Ag 0.500 0.750 0.298
Ag 0.500 0.750 0.452
CELL_PARAMETERS angstrom
4.183 0.000 0.000
0.000 4.183 0.000
0.000 0.000 18.032
```

=====

Record 2
First-principles (PBE) data for Sr2LiSbOs after structural relaxation, as listed in the Alexandria database. Values from VASP.

Calculated total energy: -17.2 eV/cell
ΔE_f (raw): 3.41 eV per formula unit
N(E_F): 2.7 states/eV/cell

```
&SYSTEM
  ibrav = 0, nat = 5, ntyp = 4
/
ATOMIC_SPECIES
Sr 87.62 Sr.upf
Li 6.94 Li.upf
Sb 121.76 Sb.upf
Os 190.23 Os.upf
ATOMIC_POSITIONS crystal
Sr 0.000 0.500 0.000
Sr 0.500 0.000 0.000
Li 0.000 0.000 0.500
Sb 0.000 0.000 0.000
Os 0.500 0.500 0.500
CELL_PARAMETERS angstrom
6.222 0.000 0.000
0.000 6.222 0.000
0.000 0.000 4.854
```

=====

Record 3
First-principles (PBE) data for Mg2CdTc after structural relaxation, as listed in the Alexandria database. Values from VASP.

Calculated total energy: -27.4 eV/cell
N(E_F): 5.2 states/eV/cell
Energy of formation from the pure elements: 199 meV/atom

```
&SYSTEM
  ibrav = 0, nat = 8, ntyp = 3
/
ATOMIC_SPECIES
Mg 24.30 Mg.upf
Cd 112.41 Cd.upf
Tc 98.00 Tc.upf
ATOMIC_POSITIONS crystal
Mg 0.000 0.000 0.000
Mg 0.240 0.000 0.716
Mg 0.500 0.500 0.000
Mg 0.740 0.500 0.716
Cd 0.252 0.500 0.246
Cd 0.752 0.000 0.246
Tc 0.497 0.000 0.507
Tc 0.997 0.500 0.507
CELL_PARAMETERS angstrom
9.868 0.000 0.000
0.000 2.879 0.000
-0.809 0.000 5.132
```

=====

Record 4
First-principles (PBE) data for FeNi4Pd2 after structural relaxation, as listed in the Alexandria database. Values from VASP.

Calculated total energy: -77.2 eV/cell
N(E_F): 23.1 states/eV/cell
Energy of formation from the pure elements: 483 meV/atom
Energy above the lowest structure with this stoichiometry: 267 meV/atom

```
&SYSTEM
  ibrav = 0, nat = 14, ntyp = 3
/
ATOMIC_SPECIES
Fe 55.84 Fe.upf
Ni 58.69 Ni.upf
Pd 106.42 Pd.upf
ATOMIC_POSITIONS crystal
Fe 0.000 0.000 0.000
Fe 0.500 0.500 0.500
Ni 0.000 0.500 0.000
Ni 0.000 0.500 0.250
Ni 0.000 0.500 0.500
Ni 0.000 0.500 0.750
Ni 0.500 0.000 0.000
Ni 0.500 0.000 0.250
Ni 0.500 0.000 0.500
Ni 0.500 0.000 0.750
Pd 0.000 0.000 0.358
Pd 0.000 0.000 0.642
Pd 0.500 0.500 0.142
Pd 0.500 0.500 0.858
CELL_PARAMETERS angstrom
4.581 0.000 0.000
0.000 4.581 0.000
0.000 0.000 9.392
```

=====

Record 5
First-principles (PBE) data for Ba5Mg after structural relaxation, as listed in the Alexandria database. Values from VASP.

Calculated total energy: -22.0 eV/cell
N(E_F): 16.0 states/eV/cell
Energy of formation from the pure elements: 38 meV/atom
Energy above the lowest structure with this stoichiometry: 40 meV/atom

```
&SYSTEM
  ibrav = 0, nat = 12, ntyp = 2
/
ATOMIC_SPECIES
Ba 137.33 Ba.upf
Mg 24.30 Mg.upf
ATOMIC_POSITIONS crystal
Ba 0.000 0.000 0.000
Ba 0.000 0.000 0.298
Ba 0.000 0.500 0.500
Ba 0.000 0.500 0.798
Ba 0.500 0.000 0.150
Ba 0.500 0.000 0.482
Ba 0.500 0.000 0.819
Ba 0.500 0.500 0.319
Ba 0.500 0.500 0.650
Ba 0.500 0.500 0.982
Mg 0.000 0.000 0.649
Mg 0.000 0.500 0.149
CELL_PARAMETERS angstrom
6.652 0.000 0.000
0.000 4.960 0.000
0.000 0.000 20.020
```

=====

Record 6
First-principles (PBE) data for MnTl2P after structural relaxation, as listed in the Alexandria database. Values from VASP.

Calculated total energy: -36.8 eV/cell
N(E_F): 4.4 states/eV/cell
Energy of formation from the pure elements: 224 meV/atom
Energy above the lowest structure with this stoichiometry: 170 meV/atom

```
&SYSTEM
  ibrav = 0, nat = 8, ntyp = 3
/
ATOMIC_SPECIES
Mn 54.94 Mn.upf
Tl 204.38 Tl.upf
P 30.97 P.upf
ATOMIC_POSITIONS crystal
Mn 0.000 0.000 0.000
Mn 0.500 0.500 0.500
Tl 0.000 0.000 0.560
Tl 0.000 0.500 0.768
Tl 0.500 0.000 0.268
Tl 0.500 0.500 0.060
P 0.000 0.500 0.368
P 0.500 0.000 0.868
CELL_PARAMETERS angstrom
3.340 0.000 0.000
0.000 4.738 0.000
0.000 0.000 11.872
```

=====

Record 7
First-principles (PBE) data for LiCaSb2 after structural relaxation, as listed in the Alexandria database. Values from VASP.

Calculated total energy: -13.7 eV/cell
ΔE_f (raw): -1.50 eV per formula unit
N(E_F): 1.2 states/eV/cell
Energy above the lowest structure with this stoichiometry: 247 meV/atom

```
&SYSTEM
  ibrav = 0, nat = 4, ntyp = 3
/
ATOMIC_SPECIES
Li 6.94 Li.upf
Ca 40.08 Ca.upf
Sb 121.76 Sb.upf
ATOMIC_POSITIONS crystal
Li 0.000 0.000 0.000
Ca 0.500 0.500 0.667
Sb 0.000 0.000 0.449
Sb 0.500 0.500 0.168
CELL_PARAMETERS angstrom
4.090 0.000 0.000
0.000 4.090 0.000
0.000 0.000 6.324
```

=====

Record 8
First-principles (PBE) data for Ac2ScIn3Te6 after structural relaxation, as listed in the Alexandria database. Values from VASP.

Calculated total energy: -53.2 eV/cell
ΔE_f (raw): -11.56 eV per formula unit

```
&SYSTEM
  ibrav = 0, nat = 12, ntyp = 4
/
ATOMIC_SPECIES
Ac 227.00 Ac.upf
Sc 44.96 Sc.upf
In 114.82 In.upf
Te 127.60 Te.upf
ATOMIC_POSITIONS crystal
Ac 0.166 0.834 0.000
Ac 0.834 0.166 0.000
Sc 0.500 0.500 0.000
In 0.000 0.000 0.500
In 0.329 0.671 0.500
In 0.671 0.329 0.500
Te 0.123 0.426 0.779
Te 0.273 0.273 0.230
Te 0.426 0.123 0.779
Te 0.574 0.877 0.221
Te 0.727 0.727 0.770
Te 0.877 0.574 0.221
CELL_PARAMETERS angstrom
4.006 -6.905 0.000
4.006 6.905 0.000
-2.655 0.000 8.036
```

=====

Record 9
First-principles (PBE) data for ScAlTeOs2 after structural relaxation, as listed in the Alexandria database. Values from VASP.

Calculated total energy: -28.1 eV/cell
ΔE_f (raw): 7.57 eV per formula unit
N(E_F): 4.9 states/eV/cell

```
&SYSTEM
  ibrav = 0, nat = 5, ntyp = 4
/
ATOMIC_SPECIES
Sc 44.96 Sc.upf
Al 26.98 Al.upf
Te 127.60 Te.upf
Os 190.23 Os.upf
ATOMIC_POSITIONS crystal
Sc 0.000 0.000 0.000
Al 0.500 0.500 0.000
Te 0.000 0.000 0.500
Os 0.000 0.500 0.500
Os 0.500 0.000 0.500
CELL_PARAMETERS angstrom
4.838 0.000 0.000
0.000 4.838 0.000
0.000 0.000 5.099
```

=====

Record 10
First-principles (PBE) data for GaB3Se after structural relaxation, as listed in the Alexandria database. Values from VASP.

Calculated total energy: -16.9 eV/cell
ΔE_f (raw): 9.65 eV per formula unit
N(E_F): 2.1 states/eV/cell
Energy above the lowest structure with this stoichiometry: 122 meV/atom

```
&SYSTEM
  ibrav = 0, nat = 5, ntyp = 3
/
ATOMIC_SPECIES
Ga 69.72 Ga.upf
B 10.81 B.upf
Se 78.96 Se.upf
ATOMIC_POSITIONS crystal
Ga 0.000 0.000 0.000
B 0.000 0.500 0.500
B 0.500 0.000 0.500
B 0.500 0.500 0.000
Se 0.500 0.500 0.500
CELL_PARAMETERS angstrom
4.134 0.000 0.000
0.000 4.134 0.000
0.000 0.000 4.134
```

=====

Record 11
First-principles (PBE) data for PuCuAu after structural relaxation, as listed in the Alexandria database. Values from VASP.

Calculated total energy: -90.0 eV/cell
N(E_F): 44.2 states/eV/cell
Energy of formation from the pure elements: -263 meV/atom
Energy above the lowest structure with this stoichiometry: 11 meV/atom

```
&SYSTEM
  ibrav = 0, nat = 12, ntyp = 3
/
ATOMIC_SPECIES
Pu 244.00 Pu.upf
Cu 63.55 Cu.upf
Au 196.97 Au.upf
ATOMIC_POSITIONS crystal
Pu 0.041 0.000 0.288
Pu 0.459 0.500 0.712
Pu 0.541 0.500 0.288
Pu 0.959 0.000 0.712
Cu 0.151 0.500 0.692
Cu 0.349 0.000 0.308
Cu 0.651 0.000 0.692
Cu 0.849 0.500 0.308
Au 0.177 0.500 0.127
Au 0.323 0.000 0.873
Au 0.677 0.000 0.127
Au 0.823 0.500 0.873
CELL_PARAMETERS angstrom
10.354 0.000 0.000
0.000 4.528 0.000
-4.327 0.000 5.212
```

=====

Record 12
First-principles (PBE) data for Ac4Te2CS after structural relaxation, as listed in the Alexandria database. Values from VASP.

Calculated total energy: -45.9 eV/cell
ΔE_f (raw): -9.79 eV per formula unit
N(E_F): 3.0 states/eV/cell

```
&SYSTEM
  ibrav = 0, nat = 8, ntyp = 4
/
ATOMIC_SPECIES
Ac 227.00 Ac.upf
Te 127.60 Te.upf
C 12.01 C.upf
S 32.06 S.upf
ATOMIC_POSITIONS crystal
Ac 0.216 0.000 0.201
Ac 0.243 0.500 0.792
Ac 0.757 0.500 0.208
Ac 0.784 0.000 0.799
Te 0.000 0.000 0.500
Te 0.500 0.500 0.500
C 0.000 0.500 0.000
S 0.500 0.000 0.000
CELL_PARAMETERS angstrom
7.610 0.000 0.000
0.000 4.349 0.000
-2.495 0.000 7.661
```